(1)
Material: Ta2TcRu
Method: DFT, PBE-GGA
State: optimized geometry

a = 4.3269 Å, b = 2.8238 Å, c = 5.3468 Å
α = 81.84°, β = 90.00°, γ = 90.00°
With the nearest neighbours (Å) after each atom.
Atoms (fractional coordinates):
Ru: 0.5000 0.7500 0.7500  4 Ta 2.70, 2 Ru 2.82, 2 Tc 2.84
Tc: 0.5000 0.2500 0.2500  4 Ta 2.68, 2 Tc 2.82, 2 Ru 2.84
Ta: 0.0000 0.4926 0.4984  2 Tc 2.68, 2 Ru 2.70, 4 Ta 2.82-2.84
Ta: 0.0000 0.0074 0.0016  2 Tc 2.68, 2 Ru 2.70, 4 Ta 2.82-2.84

Computed properties:
SG	P2/m
formation energy	-0.165	eV per atom
uncorrected energy	-11.00	eV per atom

(2)
Material: SiRu3W
Method: DFT, PBE-GGA
State: optimized geometry

a = 4.6637 Å, b = 4.6637 Å, c = 4.6637 Å
α = 90.00°, β = 90.00°, γ = 90.00°
With the nearest neighbours (Å) after each atom.
Atoms (fractional coordinates):
Ru: 0.0000 0.5000 0.0000  2 W 2.33
Ru: 0.5000 0.0000 0.0000  2 W 2.33
Ru: 0.0000 0.0000 0.5000  2 W 2.33
Si: 0.5000 0.5000 0.5000  12 Ru 3.30
W: 0.0000 0.0000 0.0000  6 Ru 2.33

Computed properties:
ΔE_f (raw)	1.750	eV/atom
SG	Pm-3m
offset from the most stable computed form	912.9	meV per atom
uncorrected energy	-7.49	eV per atom

(3)
Material: VNiAu2
Method: DFT, PBE-GGA
State: optimized geometry

a = 7.1449 Å, b = 7.1449 Å, c = 5.7178 Å
α = 51.33°, β = 51.33°, γ = 90.00°
With the nearest neighbours (Å) after each atom.
Atoms (fractional coordinates):
Ni: 0.0000 0.0000 0.0000  4 Au 2.53, 2 V 2.68
Ni: 0.7500 0.2500 0.5000  4 Au 2.53, 2 V 2.68
Au: 0.8750 0.8919 0.7500  2 Ni 2.53, 2 Au 2.69, 2 V 2.70
Au: 0.1081 0.6250 0.2500  2 Ni 2.53, 2 Au 2.69, 2 V 2.70
Au: 0.6419 0.1250 0.2500  2 Ni 2.53, 2 Au 2.69, 2 V 2.70
Au: 0.3750 0.3581 0.7500  2 Ni 2.53, 2 Au 2.69, 2 V 2.70
V: 0.5000 0.5000 0.0000  2 Ni 2.68, 4 Au 2.70
V: 0.2500 0.7500 0.5000  2 Ni 2.68, 4 Au 2.70

Computed properties:
SG	I-42d
offset from the most stable computed form	351.9	meV per atom
formation energy	0.421	eV per atom
uncorrected energy	-4.94	eV per atom

(4)
Material: Ca3TlAs2Pd9
Method: DFT, PBE-GGA
State: optimized geometry

a = 5.8052 Å, b = 5.8052 Å, c = 11.5695 Å
α = 90.00°, β = 90.00°, γ = 120.00°
With the nearest neighbours (Å) after each atom.
Atoms (fractional coordinates):
Pd: 0.3165 0.1582 0.6978  1 As 2.43
Pd: 0.8418 0.1582 0.6978  1 As 2.43
Pd: 0.1582 0.3165 0.3022  1 As 2.43
Pd: 0.5000 0.5000 0.0000  2 As 2.48
Pd: 0.0000 0.5000 0.0000  2 As 2.48
Pd: 0.5000 0.0000 0.0000  2 As 2.48
Pd: 0.8418 0.6835 0.6978  1 As 2.43
Pd: 0.6835 0.8418 0.3022  1 As 2.43
Pd: 0.1582 0.8418 0.3022  1 As 2.43
Tl: 0.0000 0.0000 0.5000  6 Pd 2.79
Ca: 0.3333 0.6667 0.7621  9 Pd 3.00-3.22
Ca: 0.6667 0.3333 0.2379  9 Pd 3.00-3.22
Ca: 0.0000 0.0000 0.0000  6 Pd 2.90
As: 0.6667 0.3333 0.8420  6 Pd 2.43-2.48
As: 0.3333 0.6667 0.1580  6 Pd 2.43-2.48

Computed properties:
SG	P-3m1
formation energy	-0.488	eV per atom
uncorrected energy	-4.78	eV per atom